The following is a DFT calculation (GGA-PBE) of crystalline NdDyCuRh at its relaxed geometry.

Structure (POSCAR):
```
NdDyCuRh
1.0
4.423 0.000 0.000
0.000 1.927 5.272
0.000 -1.927 5.272
Nd Dy Cu Rh
1 1 1 1
direct
0.000 0.000 0.000
0.500 0.277 0.277
0.500 0.569 0.569
0.000 0.724 0.724
```

Results
The symmetry is Amm2 (38). The value obtained for the volume is 89.8 Å³/cell. The value obtained for the energy relative to the lowest polymorph listed for this composition is 0.000 eV per atom. The spin magnetization is 0.00 μB/f.u. The calculation puts the formation enthalpy at 0 K at -2.073 eV/f.u. The crystal system is orthorhombic.